Entry one
## LaMg4Zn (PBE-GGA)

Data for an optimized crystal structure of LaMg4Zn.

Output
* magnetization: 0.0 μB/f.u.
* space group: Pmma, No. 51
* calculated volume: 293.0 Å³/cell

Cell lengths 8.423, 4.442, 7.829 Å; angles 90.00, 90.00, 90.00 degrees
Positions (direct):
La 0.250 0.000 0.116
La 0.750 0.000 0.884
Mg 0.000 0.000 0.500
Mg 0.060 0.500 0.806
Mg 0.250 0.500 0.449
Mg 0.440 0.500 0.806
Mg 0.500 0.000 0.500
Mg 0.560 0.500 0.194
Mg 0.750 0.500 0.551
Mg 0.940 0.500 0.194
Zn 0.250 0.000 0.715
Zn 0.750 0.000 0.285

***

Entry two
## LaMg4Zn (PBE-GGA)

Data for an optimized crystal structure of LaMg4Zn.

Output
* magnetization: 0.0 μB/f.u.
* space group: F-43m, No. 216
* calculated volume: 152.1 Å³/cell

Cell lengths 5.991, 5.991, 5.991 Å; angles 60.00, 60.00, 60.00 degrees
Positions (direct):
La 0.000 0.000 0.000
Mg 0.126 0.625 0.625
Mg 0.625 0.126 0.625
Mg 0.625 0.625 0.126
Mg 0.625 0.625 0.625
Zn 0.250 0.250 0.250

***

Question: of the structures shown, which is the most stable? Reply: entry one.